1.
Here is crystalline PaMnCo5B2 at its relaxed geometry from Alexandria. Energies are from PBE.

Lattice parameters (Å, degrees): 3.6393 3.6393 8.3782 90.00 90.00 90.00
Each line ends with the local moment (μB).
Element x y z (fractional)
Pa (0.0000, 0.0000, 0.5000)  0.04
Mn (0.0000, 0.0000, 0.0000)  1.98
Co (0.0000, 0.5000, 0.1734)  -0.04
Co (0.5000, 0.0000, 0.1734)  -0.04
Co (0.0000, 0.5000, 0.8266)  -0.04
Co (0.5000, 0.0000, 0.8266)  -0.04
Co (0.5000, 0.5000, 0.5000)  0.03
B (0.5000, 0.5000, 0.2660)  -0.01
B (0.5000, 0.5000, 0.7340)  -0.01

The calculation puts the formation energy at 0.039 eV per atom. Its density of states at the Fermi level is 1.1321 states/eV/atom.

2.
Here is crystalline Nd2ZrH at its relaxed geometry from Alexandria. Energies are from PBE.

Lattice parameters (Å, degrees): 3.3462 3.3462 9.7103 80.08 80.08 60.00
Element x y z (fractional)
H (0.5000, 0.5000, 0.5000)
Nd (0.1119, 0.1119, 0.6643)
Nd (0.8881, 0.8881, 0.3357)
Zr (0.0000, 0.0000, 0.0000)

Its density of states at the Fermi level is 1.0989 states/eV/atom.

3.
Here is crystalline TaGaFe3 at its relaxed geometry from Alexandria. Energies are from PBE.

Lattice parameters (Å, degrees): 4.2969 4.2969 4.2969 90.00 90.00 90.00
Each line ends with the local moment (μB).
Element x y z (fractional)
Fe (0.0000, 0.5000, 0.0000)  2.35
Fe (0.0000, 0.0000, 0.5000)  2.34
Fe (0.5000, 0.0000, 0.0000)  2.17
Ga (0.0000, 0.0000, 0.0000)  -0.12
Ta (0.5000, 0.5000, 0.5000)  -0.83

The calculation puts the formation energy at 1.021 eV per atom. Its density of states at the Fermi level is 1.4243 states/eV/atom.

4.
Here is crystalline SiHgO2 at its relaxed geometry from Alexandria. Energies are from PBE.

Lattice parameters (Å, degrees): 5.4139 5.4139 5.4135 60.00 60.00 90.00
Element x y z (fractional)
Si (0.5000, 0.5000, 0.0000)
Si (0.2500, 0.7500, 0.5000)
Hg (0.0000, 0.0000, 0.0000)
Hg (0.7500, 0.2500, 0.5000)
O (0.3752, 0.1250, 0.2500)
O (0.3748, 0.6250, 0.2500)
O (0.3750, 0.6248, 0.7500)
O (0.8750, 0.6252, 0.7500)

Its density of states at the Fermi level is 0.0000 states/eV/atom.

5.
Here is crystalline KReAu at its relaxed geometry from Alexandria. Energies are from PBE.

Lattice parameters (Å, degrees): 8.1362 8.1331 2.7754 80.24 80.11 19.64
Each line ends with the local moment (μB).
Element x y z (fractional)
Au (0.0155, 0.0155, 0.9845)  0.03
K (0.3340, 0.3340, 0.6660)  0.03
Re (0.6505, 0.6505, 0.3495)  0.47

The calculation puts the formation energy at 0.921 eV per atom. Its density of states at the Fermi level is 0.8460 states/eV/atom.

6.
Here is crystalline LiZnHg2 at its relaxed geometry from Alexandria. Energies are from PBE.

Lattice parameters (Å, degrees): 4.0169 4.0169 6.7046 72.57 72.57 60.00
Element x y z (fractional)
Li (0.4988, 0.4988, 0.5035)
Zn (0.6675, 0.6675, 0.9976)
Hg (0.0819, 0.0819, 0.7543)
Hg (0.2518, 0.2518, 0.2446)

The calculation puts the formation energy at -0.090 eV per atom. Its density of states at the Fermi level is 0.1919 states/eV/atom.

7.
Here is crystalline LiTeHRh2 at its relaxed geometry from Alexandria. Energies are from PBE.

Lattice parameters (Å, degrees): 4.0506 4.0506 3.8731 90.00 90.00 90.00
Element x y z (fractional)
H (0.0000, 0.0000, 0.0000)
Te (0.5000, 0.5000, 0.5000)
Rh (0.0000, 0.5000, 0.0000)
Rh (0.5000, 0.0000, 0.0000)
Li (0.0000, 0.0000, 0.5000)

Its density of states at the Fermi level is 0.4143 states/eV/atom.

8.
Here is crystalline ReNiOs2 at its relaxed geometry from Alexandria. Energies are from PBE.

Lattice parameters (Å, degrees): 2.6675 2.6675 8.9462 90.00 90.00 116.82
Element x y z (fractional)
Ni (0.5000, 0.5000, 0.7500)
Os (0.0000, 0.0000, 0.9934)
Os (0.0000, 0.0000, 0.5066)
Re (0.5000, 0.5000, 0.2500)

The calculation puts the formation energy at 0.483 eV per atom. Its density of states at the Fermi level is 1.5298 states/eV/atom.

9.
Here is crystalline Sm4Tm3Se8 at its relaxed geometry from Alexandria. Energies are from PBE.

Lattice parameters (Å, degrees): 8.1819 8.1796 8.1796 89.96 120.06 120.06
Element x y z (fractional)
Sm (0.5000, 0.0000, 0.0000)
Sm (0.0000, 0.5000, 0.0000)
Sm (0.0000, 0.0000, 0.0000)
Sm (0.0000, 0.0000, 0.5000)
Tm (0.5000, 0.5000, 0.0000)
Tm (0.5000, 0.0000, 0.5000)
Tm (0.5000, 0.5000, 0.5000)
Se (0.5137, 0.2614, 0.2614)
Se (0.0000, 0.7433, 0.2567)
Se (0.0093, 0.2610, 0.2610)
Se (0.5000, 0.7455, 0.2545)
Se (0.5000, 0.2545, 0.7455)
Se (0.9907, 0.7390, 0.7390)
Se (0.0000, 0.2567, 0.7433)
Se (0.4863, 0.7386, 0.7386)

Its density of states at the Fermi level is 0.4079 states/eV/atom.

10.
Here is crystalline LiMgBe at its relaxed geometry from Alexandria. Energies are from PBE.

Lattice parameters (Å, degrees): 4.6025 6.4064 6.3849 90.00 90.00 90.00
Element x y z (fractional)
Li (0.2500, 0.1625, 0.0672)
Li (0.7500, 0.8375, 0.0672)
Li (0.7500, 0.6625, 0.5672)
Li (0.2500, 0.3375, 0.5672)
Mg (0.2500, 0.8326, 0.7390)
Mg (0.7500, 0.1674, 0.7390)
Mg (0.7500, 0.3326, 0.2390)
Mg (0.2500, 0.6674, 0.2390)
Be (0.0000, 0.0000, 0.4019)
Be (0.5000, 0.0000, 0.4019)
Be (0.5000, 0.5000, 0.9019)
Be (0.0000, 0.5000, 0.9019)

The calculation puts the formation energy at 0.153 eV per atom. Its density of states at the Fermi level is 0.1939 states/eV/atom.

11.
Here is crystalline LiP2Au at its relaxed geometry from Alexandria. Energies are from PBE.

Lattice parameters (Å, degrees): 4.8492 11.2899 5.8324 90.00 112.95 90.00
Element x y z (fractional)
Li (0.5000, 0.2730, 0.5000)
Li (0.5000, 0.7270, 0.5000)
Li (0.5000, 0.7730, 0.0000)
Li (0.5000, 0.2270, 0.0000)
P (0.1949, 0.1024, 0.1828)
P (0.8051, 0.1024, 0.8172)
P (0.8051, 0.8976, 0.8172)
P (0.1949, 0.8976, 0.1828)
P (0.1949, 0.6024, 0.6828)
P (0.8051, 0.6024, 0.3172)
P (0.8051, 0.3976, 0.3172)
P (0.1949, 0.3976, 0.6828)
Au (0.0000, 0.6268, 0.0000)
Au (0.0000, 0.3732, 0.0000)
Au (0.0000, 0.1268, 0.5000)
Au (0.0000, 0.8732, 0.5000)

The calculation puts the formation energy at -0.270 eV per atom. Its density of states at the Fermi level is 0.2105 states/eV/atom.

12.
Here is crystalline FeTe2Os at its relaxed geometry from Alexandria. Energies are from PBE.

Lattice parameters (Å, degrees): 5.5745 5.5745 5.5745 138.55 138.55 60.06
Each line ends with the local moment (μB).
Element x y z (fractional)
Fe (0.5000, 0.5000, 0.0000)  2.57
Os (0.7500, 0.2500, 0.5000)  0.09
Te (0.0000, 0.0000, 0.0000)  -0.04
Te (0.2500, 0.7500, 0.5000)  -0.01

Its density of states at the Fermi level is 1.2213 states/eV/atom.

Record-wise raw total energy values, in eV per atom: -7.47, -5.20, -7.03, -5.73, -4.69, -1.04, -4.97, -9.69, -5.82, -2.26, -4.27, -5.59